[1]
VASP calculation (PBE-GGA) on an optimized crystal structure of CeIn6Ag12.

The space group is R-3m (No. 166, hexagonal axes) and the conventional cell measures 12.3861, 12.3861 and 9.5090 Å, with angles of 90.00, 90.00 and 120.00 degrees. The distinct sites, in fractional coordinates, are Ce at (0.0000, 0.0000, 0.0000), In at (0.0593, 0.5296, 0.2392), Ag at (0.0000, 0.3890, 0.5000) and Ag at (0.0806, 0.1612, 0.2804).

The value obtained for the total magnetization is 3.6 Bohr magnetons per cell. For the total energy, the calculation gives -2.94 eV per atom. For the density of states at the Fermi level, the calculation gives 13.42 states/eV/f.u. Its volume is 22.2 Å³ per atom. As for the density: 8.37 g/cm3. For the formation enthalpy at 0 K, the calculation gives 0.041 eV per atom.


[2]
VASP calculation (PBE-GGA) on an optimized crystal structure of Ce2In2Ag15.

The space group is R-3m (No. 166, hexagonal axes) and the conventional cell measures 9.7564, 9.7564 and 14.3492 Å, with angles of 90.00, 90.00 and 120.00 degrees. The distinct sites, in fractional coordinates, are Ce at (0.0000, 0.0000, 0.1518), In at (0.0000, 0.0000, 0.3958), Ag at (0.0000, 0.3072, 0.5000), Ag at (0.0000, 0.5000, 0.0000) and Ag at (0.0072, 0.5036, 0.6518).

The value obtained for the total magnetization is 7.8 Bohr magnetons per cell. For the total energy, the calculation gives -3.21 eV per atom. For the density of states at the Fermi level, the calculation gives 23.39 states/eV/f.u. Its volume is 20.8 Å³ per atom. As for the density: 8.96 g/cm3. For the formation enthalpy at 0 K, the calculation gives -0.044 eV per atom.


[3]
VASP calculation (PBE-GGA) on an optimized crystal structure of Ce4In12Ag.

The space group is Im-3m (No. 229) and the conventional cell measures 9.583, 9.583 and 9.583 Å, with angles of 90.00, 90.00 and 90.00 degrees. The distinct sites, in fractional coordinates, are Ce at (0.250, 0.250, 0.250), In at (0.000, 0.000, 0.291), In at (0.000, 0.250, 0.500) and Ag at (0.000, 0.000, 0.000).

The value obtained for the total magnetization is 8.2 Bohr magnetons per cell. For the total energy, the calculation gives -3.85 eV per atom. For the density of states at the Fermi level, the calculation gives 25.69 states/eV/f.u. Its volume is 25.9 Å³ per atom. As for the density: 7.72 g/cm3. For the formation enthalpy at 0 K, the calculation gives -0.349 eV per atom.